# 1
Entry from OQMD: crystalline Y2HoSn3PdPt2 at its relaxed geometry (PBE).

Results
uncorrected energy	-0.2297	hartree per atom
symmetry	No. 38

POSCAR file:
```
Y2HoSn3PdPt2
1.0
4.0115 0.0000 0.0000
0.0000 6.5094 3.7740
0.0000 -6.5094 3.7740
Y Ho Sn Pd Pt
2 1 3 1 2
Direct
0.0000 0.2038 0.7962
0.0000 0.7962 0.2038
0.0000 0.3883 0.3883
0.5000 0.0546 0.0546
0.5000 0.5381 0.7957
0.5000 0.7957 0.5381
0.0000 0.7952 0.7952
0.5000 0.1311 0.4624
0.5000 0.4624 0.1311
```

# 2
Entry from OQMD: crystalline Pr3Sb4Au3 at its relaxed geometry (PBE).

Results
uncorrected energy	-0.1819	hartree per atom
symmetry	No. 220

POSCAR file:
```
Pr3Sb4Au3
1.0
-5.0645 5.0645 5.0645
5.0645 -5.0645 5.0645
5.0645 5.0645 -5.0645
Pr Sb Au
6 8 6
Direct
0.1250 0.8750 0.2500
0.2500 0.1250 0.8750
0.3750 0.6250 0.7500
0.6250 0.7500 0.3750
0.7500 0.3750 0.6250
0.8750 0.2500 0.1250
0.0000 0.1724 0.5000
0.0000 0.6724 0.5000
0.1724 0.5000 0.0000
0.3276 0.3276 0.3276
0.5000 0.0000 0.1724
0.5000 0.0000 0.6724
0.6724 0.5000 0.0000
0.8276 0.8276 0.8276
0.1250 0.7500 0.8750
0.2500 0.6250 0.3750
0.3750 0.2500 0.6250
0.6250 0.3750 0.2500
0.7500 0.8750 0.1250
0.8750 0.1250 0.7500
```

# 3
Entry from OQMD: crystalline CsThZr at its relaxed geometry (PBE).

Results
uncorrected energy	-0.1468	hartree per atom
symmetry	No. 216

POSCAR file:
```
CsThZr
1.0
0.0000 3.8729 3.8729
3.8729 0.0000 3.8729
3.8729 3.8729 0.0000
Cs Th Zr
1 1 1
Direct
0.0000 0.0000 0.0000
0.5000 0.5000 0.5000
0.2500 0.2500 0.2500
```

- Look up the uncorrected energy of the third one.
  -0.1468 hartree per atom